1.
# Zr2AlHg GGA-PBE relaxed
# DFT formation energy   -0.28 eV per atom
data_Zr2AlHg
_chemical_formula_sum 'Zr2 Al1 Hg1'
_space_group_name_H-M_alt 'P 4/m m m'
_space_group_IT_number 123
_space_group_name_Hall '-P 4 2'
_cell_length_a 4.359
_cell_length_b 4.359
_cell_length_c 4.304
_cell_angle_alpha 90.00
_cell_angle_beta 90.00
_cell_angle_gamma 90.00
loop_
_atom_site_label
_atom_site_fract_x
_atom_site_fract_y
_atom_site_fract_z
_atom_site_occupancy
Zr1 0.000 0.500 0.000 1
Al1 0.000 0.000 0.500 1
Hg1 0.500 0.500 0.500 1

2.
# Zr2AlHg GGA-PBE relaxed
# DFT formation energy   -0.12 eV per atom
data_Zr2AlHg
_chemical_formula_sum 'Zr2 Al1 Hg1'
_space_group_name_H-M_alt 'P m m 2'
_space_group_IT_number 25
_cell_length_a 3.303
_cell_length_b 4.195
_cell_length_c 6.137
_cell_angle_alpha 90.00
_cell_angle_beta 90.00
_cell_angle_gamma 90.00
loop_
_space_group_symop_operation_xyz
'x,y,z'
'-x,-y,z'
'-x,y,z'
'x,-y,z'
loop_
_atom_site_label
_atom_site_fract_x
_atom_site_fract_y
_atom_site_fract_z
_atom_site_occupancy
Zr1 0.000 0.000 0.000 1
Zr2 0.500 0.500 0.261 1
Al1 0.000 0.000 0.482 1
Hg1 0.500 0.500 0.745 1

3.
# Zr2AlHg GGA-PBE relaxed
# DFT formation energy   -0.33 eV per atom
data_Zr2AlHg
_chemical_formula_sum 'Zr2 Al1 Hg1'
_space_group_name_H-M_alt 'P 4/m m m'
_space_group_IT_number 123
_space_group_name_Hall '-P 4 2'
_cell_length_a 3.096
_cell_length_b 3.096
_cell_length_c 8.504
_cell_angle_alpha 90.00
_cell_angle_beta 90.00
_cell_angle_gamma 90.00
loop_
_atom_site_label
_atom_site_fract_x
_atom_site_fract_y
_atom_site_fract_z
_atom_site_occupancy
Zr1 0.000 0.000 0.236 1
Al1 0.500 0.500 0.000 1
Hg1 0.500 0.500 0.500 1

Sequential final energy output: -5.5689, -5.4052, -5.6123 eV per atom
Sequential D(E_F) output: 3.9, 3.2, 5.3 states/eV/cell